VASP calculation (PBE) on NdGdMnAl after structural relaxation.

a = 7.3305 Å, b = 7.3305 Å, c = 7.3305 Å
α = 90.00°, β = 90.00°, γ = 90.00°
Fractional positions:
Nd (0.0000, 0.0000, 0.0000)
Nd (0.0000, 0.5000, 0.5000)
Nd (0.5000, 0.0000, 0.5000)
Nd (0.5000, 0.5000, 0.0000)
Gd (0.0000, 0.0000, 0.5000)
Gd (0.0000, 0.5000, 0.0000)
Gd (0.5000, 0.0000, 0.0000)
Gd (0.5000, 0.5000, 0.5000)
Mn (0.2500, 0.2500, 0.7500)
Mn (0.2500, 0.7500, 0.2500)
Mn (0.7500, 0.2500, 0.2500)
Mn (0.7500, 0.7500, 0.7500)
Al (0.2500, 0.2500, 0.2500)
Al (0.2500, 0.7500, 0.7500)
Al (0.7500, 0.2500, 0.7500)
Al (0.7500, 0.7500, 0.2500)

The total energy is -7.98 eV per atom. The formation energy is -44 meV per atom.